No. 1
FeAu2 PBE optimized geometry; formation energy = 1.44 eV/atom; V = 61.21 A^3/atom
1.0
0.0000 5.6840 5.6840
5.6840 0.0000 5.6840
5.6840 5.6840 0.0000
Fe Au
2 4
direct
0.1250 0.1250 0.1250 Fe
0.8750 0.8750 0.8750 Fe
0.0000 0.0000 0.0000 Au
0.0000 0.0000 0.5000 Au
0.0000 0.5000 0.0000 Au
0.5000 0.0000 0.0000 Au



No. 2
CdFeHgB PBE optimized geometry; offset from the most stable computed form = 0.040 eV/atom; V = 15.83 A^3/atom
1.0
0.0000 3.1634 3.1634
3.1634 0.0000 3.1634
3.1634 3.1634 0.0000
Cd Fe Hg B
1 1 1 1
direct
0.0000 0.0000 0.0000 Cd
0.7500 0.7500 0.7500 Fe
0.2500 0.2500 0.2500 Hg
0.5000 0.5000 0.5000 B



No. 3
PrMg2 PBE optimized geometry; V = 27.79 A^3/atom; calculated total energy = -2.65 eV per atom
1.0
8.5622 0.0000 0.0000
0.0000 5.2627 0.0000
-2.5539 0.0000 14.8040
Pr Mg
8 16
direct
0.1476 0.2500 0.2431 Pr
0.1484 0.2500 0.7893 Pr
0.1825 0.7500 0.3965 Pr
0.3063 0.7500 0.1415 Pr
0.6937 0.2500 0.8585 Pr
0.8175 0.2500 0.6035 Pr
0.8516 0.7500 0.2107 Pr
0.8524 0.7500 0.7569 Pr
0.0773 0.2500 0.0109 Mg
0.1400 0.7500 0.6326 Mg
0.1523 0.2500 0.5250 Mg
0.2293 0.7500 0.9180 Mg
0.4154 0.2500 0.0102 Mg
0.4474 0.7500 0.7755 Mg
0.4529 0.2500 0.6609 Mg
0.4700 0.2500 0.4369 Mg
0.5300 0.7500 0.5631 Mg
0.5471 0.7500 0.3391 Mg
0.5526 0.2500 0.2245 Mg
0.5846 0.7500 0.9898 Mg
0.7707 0.2500 0.0820 Mg
0.8477 0.7500 0.4750 Mg
0.8600 0.2500 0.3674 Mg
0.9227 0.7500 0.9891 Mg



No. 4
Ho3Co4Sb PBE optimized geometry; V = 19.20 A^3/atom; calculated total energy = -5.96 eV per atom
1.0
4.6297 0.0000 0.0000
0.0000 4.3802 0.0000
-0.0075 0.0000 7.5736
Ho Co Sb
3 4 1
direct
0.0000 0.0000 0.0000 Ho
0.0030 0.5000 0.5271 Ho
0.5013 0.0000 0.3468 Ho
0.2539 0.5000 0.1691 Co
0.2606 0.0000 0.6853 Co
0.7480 0.0000 0.6836 Co
0.7506 0.5000 0.1700 Co
0.5027 0.5000 0.8414 Sb



No. 5
RbNaMoPd PBE optimized geometry; offset from the most stable computed form = 0.203 eV/atom; V = 26.73 A^3/atom
1.0
0.0000 3.7673 3.7673
3.7673 0.0000 3.7673
3.7673 3.7673 0.0000
Rb Na Mo Pd
1 1 1 1
direct
0.0000 0.0000 0.0000 Rb
0.5000 0.5000 0.5000 Na
0.7500 0.7500 0.7500 Mo
0.2500 0.2500 0.2500 Pd



No. 6
LaAgHg2 PBE optimized geometry; formation energy = -0.25 eV/atom; V = 23.94 A^3/atom
1.0
3.5229 0.0000 0.0000
0.0000 3.5229 0.0000
0.0000 0.0000 7.7154
La Ag Hg
1 1 2
direct
0.0000 0.0000 0.0000 La
0.0000 0.0000 0.5000 Ag
0.5000 0.5000 0.2836 Hg
0.5000 0.5000 0.7164 Hg



No. 7
Te2Ir2ICl PBE optimized geometry; V = 32.02 A^3/atom; calculated total energy = -4.60 eV per atom
1.0
7.5377 -2.0509 0.0000
7.5377 2.0509 0.0000
-0.8052 0.0000 6.2138
Te Ir I Cl
2 2 1 1
direct
0.0000 0.0000 0.0000 Te
0.7187 0.7187 0.3478 Te
0.1707 0.1707 0.1176 Ir
0.5494 0.5494 0.2282 Ir
0.4363 0.4363 0.5060 I
0.2761 0.2761 0.8809 Cl



No. 8
CsFeNiS3 PBE optimized geometry; offset from the most stable computed form = 0.000 eV/atom; V = 21.47 A^3/atom
1.0
8.3670 0.0000 0.0000
0.0000 3.5478 0.0000
-3.2926 0.0000 8.6791
Cs Fe Ni S
2 2 2 6
direct
0.0054 0.2500 0.2398 Cs
0.9946 0.7500 0.7602 Cs
0.4950 0.2500 0.8593 Fe
0.5050 0.7500 0.1407 Fe
0.4334 0.7500 0.6133 Ni
0.5666 0.2500 0.3867 Ni
0.2684 0.2500 0.6285 S
0.3347 0.2500 0.0134 S
0.3831 0.7500 0.3336 S
0.6169 0.2500 0.6664 S
0.6653 0.7500 0.9866 S
0.7316 0.7500 0.3715 S